The following is a PBE calculation of a relaxed structure of Cs4LiI4, from Alexandria.

POSCAR file:
```
Cs4LiI4
1.0
11.3553 0.0000 0.0000
0.0000 11.3553 0.0000
0.0000 0.0000 8.0104
Cs Li I
8 2 8
Direct
0.0254 0.2500 0.0561
0.2500 0.0254 0.5561
0.2500 0.4746 0.5561
0.4746 0.2500 0.0561
0.5254 0.7500 0.9439
0.7500 0.5254 0.4439
0.7500 0.9746 0.4439
0.9746 0.7500 0.9439
0.2500 0.7500 0.2500
0.7500 0.2500 0.7500
0.0425 0.7500 0.4472
0.2500 0.5425 0.0528
0.2500 0.9575 0.0528
0.4575 0.7500 0.4472
0.5425 0.2500 0.5528
0.7500 0.0425 0.9472
0.7500 0.4575 0.9472
0.9575 0.2500 0.5528
```

Properties
Uncorrected energy: -2.533 eV per atom
Energy relative to the elements, uncorrected: -11.27 eV per formula unit